(1)
DFT (PBE-GGA) results for TbDyCdGa after structural relaxation.

```
data_TbDyCdGa
_cell_length_a 7.334
_cell_length_b 7.334
_cell_length_c 7.334
_cell_angle_alpha 90.00
_cell_angle_beta 90.00
_cell_angle_gamma 90.00
_space_group_name_H-M_alt 'F -4 3 m'
_space_group_IT_number 216
_space_group_name_Hall 'F -4 2 3'
loop_
_atom_site_label
_atom_site_type_symbol
_atom_site_fract_x
_atom_site_fract_y
_atom_site_fract_z
Tb1 Tb 0.000 0.000 0.000
Dy1 Dy 0.000 0.000 0.500
Cd1 Cd 0.250 0.250 0.750
Ga1 Ga 0.250 0.250 0.250
```

DFT total energy, eV per atom: -3.74
Size of the total moment, μB per formula unit: 0.0
ΔH_f (0 K), kJ/mol of formula units: -171


(2)
DFT (PBE-GGA) results for DyTlCdGa after structural relaxation.

```
data_DyTlCdGa
_cell_length_a 7.260
_cell_length_b 7.260
_cell_length_c 7.260
_cell_angle_alpha 90.00
_cell_angle_beta 90.00
_cell_angle_gamma 90.00
_space_group_name_H-M_alt 'F -4 3 m'
_space_group_IT_number 216
_space_group_name_Hall 'F -4 2 3'
loop_
_atom_site_label
_atom_site_type_symbol
_atom_site_fract_x
_atom_site_fract_y
_atom_site_fract_z
Dy1 Dy 0.000 0.000 0.000
Tl1 Tl 0.250 0.250 0.250
Cd1 Cd 0.000 0.000 0.500
Ga1 Ga 0.250 0.250 0.750
```

DFT total energy, eV per atom: -2.89
Size of the total moment, μB per formula unit: 0.0
ΔH_f (0 K), kJ/mol of formula units: -65


(3)
DFT (PBE-GGA) results for Dy4TlCd2Ga after structural relaxation.

```
data_Dy4TlCd2Ga
_cell_length_a 5.2464
_cell_length_b 5.2464
_cell_length_c 25.7267
_cell_angle_alpha 90.00
_cell_angle_beta 90.00
_cell_angle_gamma 120.00
_space_group_name_H-M_alt 'R -3 m'
_space_group_IT_number 166
_space_group_name_Hall '-R 3 2"'
loop_
_atom_site_label
_atom_site_type_symbol
_atom_site_fract_x
_atom_site_fract_y
_atom_site_fract_z
Dy1 Dy 0.0000 0.0000 0.1207
Dy2 Dy 0.0000 0.0000 0.3710
Tl1 Tl 0.0000 0.0000 0.5000
Cd1 Cd 0.0000 0.0000 0.2486
Ga1 Ga 0.0000 0.0000 0.0000
```

DFT total energy, eV per atom: -3.60
Size of the total moment, μB per formula unit: 0.0
ΔH_f (0 K), kJ/mol of formula units: -304


(4)
DFT (PBE-GGA) results for DyTmCdGa after structural relaxation.

```
data_DyTmCdGa
_cell_length_a 3.604
_cell_length_b 3.604
_cell_length_c 7.376
_cell_angle_alpha 90.00
_cell_angle_beta 90.00
_cell_angle_gamma 90.00
_space_group_name_H-M_alt 'P 4 m m'
_space_group_IT_number 99
_space_group_name_Hall 'P 4 -2'
loop_
_atom_site_label
_atom_site_type_symbol
_atom_site_fract_x
_atom_site_fract_y
_atom_site_fract_z
Dy1 Dy 0.000 0.000 0.000
Tm1 Tm 0.000 0.000 0.531
Cd1 Cd 0.500 0.500 0.272
Ga1 Ga 0.500 0.500 0.761
```

DFT total energy, eV per atom: -3.71
Distance to the lowest polymorph of the same formula, meV per atom: 0
Size of the total moment, μB per formula unit: 0.0
ΔH_f (0 K), kJ/mol of formula units: -175


(5)
DFT (PBE-GGA) results for DyTmCdGa after structural relaxation.

```
data_DyTmCdGa
_cell_length_a 7.272
_cell_length_b 7.272
_cell_length_c 7.272
_cell_angle_alpha 90.00
_cell_angle_beta 90.00
_cell_angle_gamma 90.00
_space_group_name_H-M_alt 'F -4 3 m'
_space_group_IT_number 216
_space_group_name_Hall 'F -4 2 3'
loop_
_atom_site_label
_atom_site_type_symbol
_atom_site_fract_x
_atom_site_fract_y
_atom_site_fract_z
Dy1 Dy 0.000 0.000 0.000
Tm1 Tm 0.000 0.000 0.500
Cd1 Cd 0.250 0.250 0.750
Ga1 Ga 0.250 0.250 0.250
```

DFT total energy, eV per atom: -3.69
Distance to the lowest polymorph of the same formula, meV per atom: 21
Size of the total moment, μB per formula unit: 0.0
ΔH_f (0 K), kJ/mol of formula units: -167


(6)
DFT (PBE-GGA) results for DyYCdGa after structural relaxation.

```
data_DyYCdGa
_cell_length_a 3.633
_cell_length_b 3.633
_cell_length_c 7.433
_cell_angle_alpha 90.00
_cell_angle_beta 90.00
_cell_angle_gamma 90.00
_space_group_name_H-M_alt 'P 4 m m'
_space_group_IT_number 99
_space_group_name_Hall 'P 4 -2'
loop_
_atom_site_label
_atom_site_type_symbol
_atom_site_fract_x
_atom_site_fract_y
_atom_site_fract_z
Dy1 Dy 0.000 0.000 0.000
Y1 Y 0.000 0.000 0.530
Cd1 Cd 0.500 0.500 0.265
Ga1 Ga 0.500 0.500 0.766
```

DFT total energy, eV per atom: -4.23
Distance to the lowest polymorph of the same formula, meV per atom: 0
Size of the total moment, μB per formula unit: 0.0
ΔH_f (0 K), kJ/mol of formula units: -183


(7)
DFT (PBE-GGA) results for DyYCdGa after structural relaxation.

```
data_DyYCdGa
_cell_length_a 7.325
_cell_length_b 7.325
_cell_length_c 7.325
_cell_angle_alpha 90.00
_cell_angle_beta 90.00
_cell_angle_gamma 90.00
_space_group_name_H-M_alt 'F -4 3 m'
_space_group_IT_number 216
_space_group_name_Hall 'F -4 2 3'
loop_
_atom_site_label
_atom_site_type_symbol
_atom_site_fract_x
_atom_site_fract_y
_atom_site_fract_z
Dy1 Dy 0.000 0.000 0.000
Y1 Y 0.000 0.000 0.500
Cd1 Cd 0.250 0.250 0.750
Ga1 Ga 0.250 0.250 0.250
```

DFT total energy, eV per atom: -4.21
Distance to the lowest polymorph of the same formula, meV per atom: 16
Size of the total moment, μB per formula unit: 0.0
ΔH_f (0 K), kJ/mol of formula units: -176


(8)
DFT (PBE-GGA) results for DyZnCdGa after structural relaxation.

```
data_DyZnCdGa
_cell_length_a 6.903
_cell_length_b 6.903
_cell_length_c 6.903
_cell_angle_alpha 90.00
_cell_angle_beta 90.00
_cell_angle_gamma 90.00
_space_group_name_H-M_alt 'F -4 3 m'
_space_group_IT_number 216
_space_group_name_Hall 'F -4 2 3'
loop_
_atom_site_label
_atom_site_type_symbol
_atom_site_fract_x
_atom_site_fract_y
_atom_site_fract_z
Dy1 Dy 0.000 0.000 0.000
Zn1 Zn 0.250 0.250 0.750
Cd1 Cd 0.000 0.000 0.500
Ga1 Ga 0.250 0.250 0.250
```

DFT total energy, eV per atom: -2.77
Size of the total moment, μB per formula unit: 0.0
ΔH_f (0 K), kJ/mol of formula units: -123


(9)
DFT (PBE-GGA) results for DyZrCdGa after structural relaxation.

```
data_DyZrCdGa
_cell_length_a 7.077
_cell_length_b 7.077
_cell_length_c 7.077
_cell_angle_alpha 90.00
_cell_angle_beta 90.00
_cell_angle_gamma 90.00
_space_group_name_H-M_alt 'F -4 3 m'
_space_group_IT_number 216
_space_group_name_Hall 'F -4 2 3'
loop_
_atom_site_label
_atom_site_type_symbol
_atom_site_fract_x
_atom_site_fract_y
_atom_site_fract_z
Dy1 Dy 0.000 0.000 0.000
Zr1 Zr 0.000 0.000 0.500
Cd1 Cd 0.250 0.250 0.250
Ga1 Ga 0.250 0.250 0.750
```

DFT total energy, eV per atom: -4.58
Size of the total moment, μB per formula unit: 0.0
ΔH_f (0 K), kJ/mol of formula units: -120


(10)
DFT (PBE-GGA) results for Gd2DyCd after structural relaxation.

```
data_Gd2DyCd
_cell_length_a 4.866
_cell_length_b 4.866
_cell_length_c 4.894
_cell_angle_alpha 90.00
_cell_angle_beta 90.00
_cell_angle_gamma 90.00
_space_group_name_H-M_alt 'P 4/m m m'
_space_group_IT_number 123
_space_group_name_Hall '-P 4 2'
loop_
_atom_site_label
_atom_site_type_symbol
_atom_site_fract_x
_atom_site_fract_y
_atom_site_fract_z
Gd1 Gd 0.000 0.500 0.000
Dy1 Dy 0.000 0.000 0.500
Cd1 Cd 0.500 0.500 0.500
```

DFT total energy, eV per atom: -8.53
Distance to the lowest polymorph of the same formula, meV per atom: 33
Size of the total moment, μB per formula unit: 15.6
ΔH_f (0 K), kJ/mol of formula units: -43


(11)
DFT (PBE-GGA) results for GdDy2Cd after structural relaxation.

```
data_GdDy2Cd
_cell_length_a 3.5671
_cell_length_b 3.5671
_cell_length_c 32.4939
_cell_angle_alpha 90.00
_cell_angle_beta 90.00
_cell_angle_gamma 120.00
_space_group_name_H-M_alt 'R -3 m'
_space_group_IT_number 166
_space_group_name_Hall '-R 3 2"'
loop_
_atom_site_label
_atom_site_type_symbol
_atom_site_fract_x
_atom_site_fract_y
_atom_site_fract_z
Gd1 Gd 0.0000 0.0000 0.0000
Dy1 Dy 0.0000 0.0000 0.2441
Cd1 Cd 0.0000 0.0000 0.5000
```

DFT total energy, eV per atom: -6.12
Distance to the lowest polymorph of the same formula, meV per atom: 72
Size of the total moment, μB per formula unit: 7.2
ΔH_f (0 K), kJ/mol of formula units: -26


(12)
DFT (PBE-GGA) results for GdDy2Cd after structural relaxation.

```
data_GdDy2Cd
_cell_length_a 7.690
_cell_length_b 7.690
_cell_length_c 7.690
_cell_angle_alpha 90.00
_cell_angle_beta 90.00
_cell_angle_gamma 90.00
_space_group_name_H-M_alt 'F m -3 m'
_space_group_IT_number 225
_space_group_name_Hall '-F 4 2 3'
loop_
_atom_site_label
_atom_site_type_symbol
_atom_site_fract_x
_atom_site_fract_y
_atom_site_fract_z
Gd1 Gd 0.000 0.000 0.000
Dy1 Dy 0.250 0.250 0.250
Cd1 Cd 0.000 0.000 0.500
```

DFT total energy, eV per atom: -6.07
Distance to the lowest polymorph of the same formula, meV per atom: 118
Size of the total moment, μB per formula unit: 7.6
ΔH_f (0 K), kJ/mol of formula units: -8


(13)
DFT (PBE-GGA) results for Gd2DyCd after structural relaxation.

```
data_Gd2DyCd
_cell_length_a 7.742
_cell_length_b 7.742
_cell_length_c 7.742
_cell_angle_alpha 90.00
_cell_angle_beta 90.00
_cell_angle_gamma 90.00
_space_group_name_H-M_alt 'F m -3 m'
_space_group_IT_number 225
_space_group_name_Hall '-F 4 2 3'
loop_
_atom_site_label
_atom_site_type_symbol
_atom_site_fract_x
_atom_site_fract_y
_atom_site_fract_z
Gd1 Gd 0.250 0.250 0.250
Dy1 Dy 0.000 0.000 0.000
Cd1 Cd 0.000 0.000 0.500
```

DFT total energy, eV per atom: -8.46
Distance to the lowest polymorph of the same formula, meV per atom: 104
Size of the total moment, μB per formula unit: 15.1
ΔH_f (0 K), kJ/mol of formula units: -16


(14)
DFT (PBE-GGA) results for GdDyCd after structural relaxation.

```
data_GdDyCd
_cell_length_a 3.360
_cell_length_b 3.360
_cell_length_c 17.895
_cell_angle_alpha 90.00
_cell_angle_beta 90.00
_cell_angle_gamma 90.00
_space_group_name_H-M_alt 'I 4 m m'
_space_group_IT_number 107
_space_group_name_Hall 'I 4 -2'
loop_
_atom_site_label
_atom_site_type_symbol
_atom_site_fract_x
_atom_site_fract_y
_atom_site_fract_z
Gd1 Gd 0.000 0.000 0.000
Dy1 Dy 0.000 0.000 0.641
Cd1 Cd 0.000 0.000 0.819
```

DFT total energy, eV per atom: -6.25
Distance to the lowest polymorph of the same formula, meV per atom: 368
Size of the total moment, μB per formula unit: 8.1
ΔH_f (0 K), kJ/mol of formula units: 82


(15)
DFT (PBE-GGA) results for GdDyCd after structural relaxation.

```
data_GdDyCd
_cell_length_a 5.2768
_cell_length_b 5.2768
_cell_length_c 3.5446
_cell_angle_alpha 90.00
_cell_angle_beta 90.00
_cell_angle_gamma 120.00
_space_group_name_H-M_alt 'P 3 m 1'
_space_group_IT_number 156
_space_group_name_Hall 'P 3 -2"'
loop_
_atom_site_label
_atom_site_type_symbol
_atom_site_fract_x
_atom_site_fract_y
_atom_site_fract_z
Gd1 Gd 0.0000 0.0000 0.0000
Dy1 Dy 0.6667 0.3333 0.5644
Cd1 Cd 0.3333 0.6667 0.3088
```

DFT total energy, eV per atom: -6.62
Distance to the lowest polymorph of the same formula, meV per atom: 0
Size of the total moment, μB per formula unit: 7.4
ΔH_f (0 K), kJ/mol of formula units: -24


(16)
DFT (PBE-GGA) results for Gd2DyCd after structural relaxation.

```
data_Gd2DyCd
_cell_length_a 3.599
_cell_length_b 3.599
_cell_length_c 9.167
_cell_angle_alpha 90.00
_cell_angle_beta 90.00
_cell_angle_gamma 90.00
_space_group_name_H-M_alt 'P 4/m m m'
_space_group_IT_number 123
_space_group_name_Hall '-P 4 2'
loop_
_atom_site_label
_atom_site_type_symbol
_atom_site_fract_x
_atom_site_fract_y
_atom_site_fract_z
Gd1 Gd 0.000 0.000 0.229
Dy1 Dy 0.500 0.500 0.500
Cd1 Cd 0.500 0.500 0.000
```

DFT total energy, eV per atom: -8.56
Distance to the lowest polymorph of the same formula, meV per atom: 0
Size of the total moment, μB per formula unit: 14.8
ΔH_f (0 K), kJ/mol of formula units: -56


(17)
DFT (PBE-GGA) results for Gd2DyCd after structural relaxation.

```
data_Gd2DyCd
_cell_length_a 3.4831
_cell_length_b 3.4831
_cell_length_c 36.4459
_cell_angle_alpha 90.00
_cell_angle_beta 90.00
_cell_angle_gamma 120.00
_space_group_name_H-M_alt 'R -3 m'
_space_group_IT_number 166
_space_group_name_Hall '-R 3 2"'
loop_
_atom_site_label
_atom_site_type_symbol
_atom_site_fract_x
_atom_site_fract_y
_atom_site_fract_z
Gd1 Gd 0.0000 0.0000 0.0888
Dy1 Dy 0.0000 0.0000 0.5000
Cd1 Cd 0.0000 0.0000 0.0000
```

DFT total energy, eV per atom: -8.26
Distance to the lowest polymorph of the same formula, meV per atom: 303
Size of the total moment, μB per formula unit: 14.8
ΔH_f (0 K), kJ/mol of formula units: 61


(18)
DFT (PBE-GGA) results for GdDy2Cd after structural relaxation.

```
data_GdDy2Cd
_cell_length_a 5.432
_cell_length_b 5.432
_cell_length_c 3.876
_cell_angle_alpha 90.00
_cell_angle_beta 90.00
_cell_angle_gamma 90.00
_space_group_name_H-M_alt 'P 4/m m m'
_space_group_IT_number 123
_space_group_name_Hall '-P 4 2'
loop_
_atom_site_label
_atom_site_type_symbol
_atom_site_fract_x
_atom_site_fract_y
_atom_site_fract_z
Gd1 Gd 0.000 0.000 0.000
Dy1 Dy 0.000 0.500 0.500
Cd1 Cd 0.500 0.500 0.000
```

DFT total energy, eV per atom: -6.11
Distance to the lowest polymorph of the same formula, meV per atom: 84
Size of the total moment, μB per formula unit: 7.3
ΔH_f (0 K), kJ/mol of formula units: -21


(19)
DFT (PBE-GGA) results for GdDy2Cd after structural relaxation.

```
data_GdDy2Cd
_cell_length_a 3.591
_cell_length_b 3.591
_cell_length_c 9.044
_cell_angle_alpha 90.00
_cell_angle_beta 90.00
_cell_angle_gamma 90.00
_space_group_name_H-M_alt 'P 4/m m m'
_space_group_IT_number 123
_space_group_name_Hall '-P 4 2'
loop_
_atom_site_label
_atom_site_type_symbol
_atom_site_fract_x
_atom_site_fract_y
_atom_site_fract_z
Gd1 Gd 0.000 0.000 0.000
Dy1 Dy 0.500 0.500 0.275
Cd1 Cd 0.000 0.000 0.500
```

DFT total energy, eV per atom: -6.19
Distance to the lowest polymorph of the same formula, meV per atom: 0
Size of the total moment, μB per formula unit: 7.3
ΔH_f (0 K), kJ/mol of formula units: -54


(20)
DFT (PBE-GGA) results for GdDyCdHg after structural relaxation.

```
data_GdDyCdHg
_cell_length_a 7.489
_cell_length_b 7.489
_cell_length_c 7.489
_cell_angle_alpha 90.00
_cell_angle_beta 90.00
_cell_angle_gamma 90.00
_space_group_name_H-M_alt 'F -4 3 m'
_space_group_IT_number 216
_space_group_name_Hall 'F -4 2 3'
loop_
_atom_site_label
_atom_site_type_symbol
_atom_site_fract_x
_atom_site_fract_y
_atom_site_fract_z
Gd1 Gd 0.000 0.000 0.000
Dy1 Dy 0.000 0.000 0.500
Cd1 Cd 0.250 0.250 0.250
Hg1 Hg 0.250 0.250 0.750
```

DFT total energy, eV per atom: -5.39
Size of the total moment, μB per formula unit: 7.8
ΔH_f (0 K), kJ/mol of formula units: -158